Here is a crystal of Sr2HfCuH relaxed with PBEsol from Alexandria. Energies are from meta-GGA SCAN.

The structure in CIF format:
```
data_Sr2HfCuH
_space_group_name_H-M_alt 'P 1'
_space_group_IT_number 1
_cell_length_a 3.893
_cell_length_b 5.492
_cell_length_c 5.492
_cell_angle_alpha 90.00
_cell_angle_beta 90.00
_cell_angle_gamma 90.00
loop_
_space_group_symop_operation_xyz
'x,y,z'
loop_
_atom_site_label
_atom_site_fract_x
_atom_site_fract_y
_atom_site_fract_z
_atom_site_occupancy
Cu1 0.500 0.500 0.500 1
H1 0.000 0.000 0.000 1
Hf1 0.500 0.000 0.000 1
Sr1 0.000 0.000 0.500 1
Sr2 0.000 0.500 0.000 1
```

Values from the calculation:
Its crystal system is tetragonal. As for the total energy: -24.773 eV per atom. As for the space group: P4/mmm (123).

***

Here is a crystal of Cu2HgH2 relaxed with PBEsol from Alexandria. Energies are from meta-GGA SCAN.

The structure in CIF format:
```
data_Cu2HgH2
_space_group_name_H-M_alt 'P 1'
_space_group_IT_number 1
_cell_length_a 3.419
_cell_length_b 3.419
_cell_length_c 5.549
_cell_angle_alpha 107.95
_cell_angle_beta 107.95
_cell_angle_gamma 90.00
loop_
_space_group_symop_operation_xyz
'x,y,z'
loop_
_atom_site_label
_atom_site_fract_x
_atom_site_fract_y
_atom_site_fract_z
_atom_site_occupancy
Cu1 0.250 0.750 0.500 1
H1 0.698 0.698 0.396 1
H2 0.302 0.302 0.604 1
Hg1 0.000 0.000 0.000 1
Cu2 0.750 0.250 0.500 1
```

Values from the calculation:
Its crystal system is tetragonal. As for the total energy: -20.907 eV per atom. As for the space group: I4/mmm (139).

***

Here is a crystal of LiCuH2I relaxed with PBEsol from Alexandria. Energies are from meta-GGA SCAN.

The structure in CIF format:
```
data_LiCuH2I
_space_group_name_H-M_alt 'P 1'
_space_group_IT_number 1
_cell_length_a 3.646
_cell_length_b 3.646
_cell_length_c 5.535
_cell_angle_alpha 90.00
_cell_angle_beta 90.00
_cell_angle_gamma 90.00
loop_
_space_group_symop_operation_xyz
'x,y,z'
loop_
_atom_site_label
_atom_site_fract_x
_atom_site_fract_y
_atom_site_fract_z
_atom_site_occupancy
Li1 0.500 0.500 0.500 1
H1 0.000 0.500 0.000 1
I1 0.000 0.000 0.500 1
H2 0.500 0.000 0.000 1
Cu1 0.000 0.000 0.000 1
```

Values from the calculation:
Its crystal system is tetragonal. As for the total energy: -12.265 eV per atom. As for the space group: P4/mmm (123).

***

Here is a crystal of CuH36S8I2N9O12 relaxed with PBEsol from Alexandria. Energies are from meta-GGA SCAN.

The structure in CIF format:
```
data_CuH36S8I2N9O12
_space_group_name_H-M_alt 'P 1'
_space_group_IT_number 1
_cell_length_a 12.289
_cell_length_b 12.289
_cell_length_c 12.289
_cell_angle_alpha 97.35
_cell_angle_beta 115.85
_cell_angle_gamma 115.85
loop_
_space_group_symop_operation_xyz
'x,y,z'
loop_
_atom_site_label
_atom_site_fract_x
_atom_site_fract_y
_atom_site_fract_z
_atom_site_occupancy
H1 0.454 0.185 0.192 1
O1 0.788 0.215 0.344 1
H2 0.507 0.565 0.519 1
N1 0.560 0.254 0.272 1
N2 0.000 0.500 0.500 1
O2 0.690 0.047 0.940 1
H3 0.573 0.222 0.777 1
N3 0.440 0.712 0.694 1
O3 0.607 0.500 0.310 1
H4 0.027 0.677 0.764 1
H5 0.259 0.423 0.192 1
H6 0.944 0.546 0.473 1
O4 0.225 0.266 0.929 1
H7 0.588 0.563 0.089 1
N4 0.690 0.875 0.065 1
S1 0.728 0.638 0.399 1
O5 0.288 0.094 0.465 1
H8 0.556 0.352 0.778 1
N5 0.000 0.255 0.255 1
S2 0.261 0.112 0.340 1
H9 0.759 0.942 0.673 1
O6 0.107 0.060 0.750 1
H10 0.525 0.024 0.437 1
H11 0.046 0.481 0.988 1
H12 0.973 0.737 0.650 1
H13 0.078 0.770 0.063 1
H14 0.936 0.440 0.045 1
H15 0.959 0.726 0.360 1
N6 0.810 0.935 0.625 1
H16 0.092 0.025 0.599 1
N7 0.518 0.496 0.556 1
H17 0.493 0.012 0.058 1
S3 0.293 0.592 0.047 1
N8 0.940 0.444 0.962 1
H18 0.056 0.528 0.602 1
I1 0.764 0.389 0.125 1
H19 0.041 0.401 0.767 1
H20 0.895 0.641 0.205 1
H21 0.444 0.223 0.796 1
Cu1 0.500 0.750 0.250 1
H22 0.408 0.683 0.757 1
Cu2 0.000 0.000 0.000 1
H23 0.025 0.187 0.274 1
S4 0.793 0.797 0.842 1
H24 0.207 0.764 0.187 1
H25 0.587 0.073 0.600 1
O7 0.893 0.643 0.953 1
H26 0.574 0.067 0.975 1
N9 0.500 0.495 0.995 1
O8 0.836 0.045 0.321 1
O9 0.164 0.484 0.209 1
H27 0.366 0.640 0.599 1
O10 0.212 0.556 0.427 1
H28 0.074 0.725 0.317 1
I2 0.236 0.361 0.625 1
H29 0.527 0.514 0.927 1
H30 0.541 0.517 0.651 1
S5 0.761 0.090 0.362 1
O11 0.310 0.250 0.357 1
O12 0.725 0.679 0.516 1
H31 0.975 0.249 0.161 1
N10 0.500 0.250 0.750 1
H32 0.436 0.795 0.690 1
S6 0.228 0.149 0.888 1
N11 0.190 0.815 0.125 1
O13 0.129 0.573 0.785 1
H33 0.993 0.808 0.262 1
S7 0.207 0.049 0.004 1
O14 0.190 0.690 0.297 1
N12 0.000 0.745 0.745 1
O15 0.871 0.656 0.444 1
S8 0.772 0.660 0.921 1
H34 0.007 0.269 0.815 1
H35 0.913 0.236 0.263 1
N13 0.018 0.306 0.746 1
H36 0.413 0.013 0.486 1
H37 0.073 0.527 0.472 1
H38 0.241 0.914 0.183 1
S9 0.044 0.996 0.203 1
H39 0.546 0.738 0.731 1
N14 0.482 0.038 0.978 1
H40 0.707 0.937 0.014 1
H41 0.064 0.109 0.504 1
S10 0.739 0.079 0.851 1
H42 0.426 0.401 0.493 1
H43 0.578 0.813 0.020 1
H44 0.395 0.955 0.891 1
H45 0.912 0.726 0.751 1
H46 0.134 0.024 0.483 1
H47 0.412 0.501 0.976 1
S11 0.456 0.701 0.408 1
H48 0.926 0.243 0.651 1
H49 0.866 0.349 0.890 1
H50 0.105 0.310 0.746 1
S12 0.239 0.601 0.329 1
O16 0.393 0.703 0.893 1
N15 0.982 0.728 0.288 1
O17 0.810 0.107 0.500 1
I3 0.736 0.375 0.611 1
S13 0.544 0.953 0.246 1
H51 0.427 0.204 0.648 1
O18 0.775 0.705 0.041 1
H52 0.088 0.839 0.813 1
H53 0.269 0.327 0.086 1
S14 0.956 0.158 0.951 1
H54 0.793 0.980 0.558 1
H55 0.592 0.349 0.275 1
H56 0.473 0.400 0.987 1
S15 0.272 0.671 0.910 1
H57 0.231 0.808 0.067 1
H58 0.475 0.911 0.499 1
N16 0.500 0.005 0.505 1
H59 0.769 0.836 0.577 1
H60 0.634 0.233 0.274 1
H61 0.293 0.308 0.230 1
O19 0.275 0.791 0.955 1
H62 0.741 0.933 0.164 1
H63 0.564 0.254 0.359 1
H64 0.922 0.986 0.692 1
H65 0.927 0.398 0.454 1
O20 0.664 0.959 0.734 1
H66 0.605 0.496 0.560 1
S16 0.707 0.754 0.299 1
O21 0.336 0.071 0.295 1
H67 0.908 0.507 0.933 1
N17 0.310 0.375 0.185 1
N18 0.060 0.022 0.504 1
H68 0.087 0.350 0.323 1
I4 0.264 0.875 0.639 1
O22 0.712 0.177 0.806 1
H69 0.459 0.110 0.976 1
H70 0.954 0.942 0.435 1
O23 0.629 0.535 0.823 1
H71 0.422 0.442 0.236 1
O24 0.371 0.194 0.906 1
H72 0.731 0.817 0.058 1
```

Values from the calculation:
Its crystal system is tetragonal. As for the total energy: -7.315 eV per atom. As for the space group: I-42d (122).

***

Here is a crystal of CuHIO4 relaxed with PBEsol from Alexandria. Energies are from meta-GGA SCAN.

The structure in CIF format:
```
data_CuHIO4
_space_group_name_H-M_alt 'P 1'
_space_group_IT_number 1
_cell_length_a 4.600
_cell_length_b 6.598
_cell_length_c 10.941
_cell_angle_alpha 90.00
_cell_angle_beta 90.00
_cell_angle_gamma 90.00
loop_
_space_group_symop_operation_xyz
'x,y,z'
loop_
_atom_site_label
_atom_site_fract_x
_atom_site_fract_y
_atom_site_fract_z
_atom_site_occupancy
O1 0.846 0.750 0.385 1
I1 0.449 0.750 0.741 1
O2 0.346 0.250 0.115 1
O3 0.835 0.544 0.163 1
O4 0.293 0.750 0.528 1
O5 0.335 0.456 0.337 1
Cu1 0.500 0.000 0.500 1
O6 0.207 0.750 0.028 1
O7 0.707 0.250 0.472 1
O8 0.165 0.044 0.837 1
Cu2 0.000 0.500 0.000 1
O9 0.665 0.956 0.663 1
I2 0.051 0.750 0.241 1
O10 0.165 0.456 0.837 1
H1 0.596 0.250 0.015 1
O11 0.654 0.750 0.885 1
O12 0.154 0.250 0.615 1
H2 0.096 0.750 0.485 1
O13 0.335 0.044 0.337 1
O14 0.835 0.956 0.163 1
H3 0.904 0.250 0.515 1
H4 0.404 0.750 0.985 1
I3 0.551 0.250 0.259 1
I4 0.949 0.250 0.759 1
Cu3 0.000 0.000 0.000 1
O15 0.793 0.250 0.972 1
O16 0.665 0.544 0.663 1
Cu4 0.500 0.500 0.500 1
```

Values from the calculation:
Its crystal system is orthorhombic. As for the total energy: -12.124 eV per atom. As for the space group: Pnma (62).

***

Here is a crystal of CuH16I2O16 relaxed with PBEsol from Alexandria. Energies are from meta-GGA SCAN.

The structure in CIF format:
```
data_CuH16I2O16
_space_group_name_H-M_alt 'P 1'
_space_group_IT_number 1
_cell_length_a 5.442
_cell_length_b 10.791
_cell_length_c 10.840
_cell_angle_alpha 108.64
_cell_angle_beta 90.00
_cell_angle_gamma 90.00
loop_
_space_group_symop_operation_xyz
'x,y,z'
loop_
_atom_site_label
_atom_site_fract_x
_atom_site_fract_y
_atom_site_fract_z
_atom_site_occupancy
H1 0.839 0.522 0.826 1
H2 0.191 0.215 0.676 1
O1 0.880 0.991 0.166 1
O2 0.804 0.670 0.072 1
O3 0.620 0.991 0.666 1
H3 0.390 0.921 0.266 1
H4 0.758 0.191 0.970 1
H5 0.890 0.079 0.234 1
O4 0.173 0.834 0.953 1
O5 0.829 0.432 0.841 1
H6 0.074 0.757 0.897 1
H7 0.926 0.243 0.103 1
O6 0.866 0.218 0.357 1
O7 0.120 0.126 0.655 1
O8 0.696 0.670 0.572 1
O9 0.329 0.568 0.659 1
O10 0.403 0.564 0.934 1
O11 0.304 0.330 0.428 1
O12 0.671 0.432 0.341 1
O13 0.673 0.166 0.547 1
H8 0.098 0.074 0.784 1
H9 0.454 0.867 0.882 1
Cu1 0.500 0.000 0.500 1
O14 0.327 0.834 0.453 1
H10 0.574 0.243 0.603 1
O15 0.120 0.009 0.834 1
Cu2 0.000 0.000 0.000 1
O16 0.100 0.354 0.211 1
O17 0.196 0.330 0.928 1
H11 0.559 0.625 0.606 1
O18 0.380 0.126 0.155 1
H12 0.598 0.926 0.716 1
H13 0.426 0.757 0.397 1
I1 0.507 0.378 0.878 1
H14 0.691 0.785 0.824 1
O19 0.634 0.218 0.857 1
H15 0.941 0.625 0.106 1
H16 0.902 0.926 0.216 1
I2 0.493 0.622 0.122 1
H17 0.441 0.375 0.394 1
O20 0.597 0.436 0.066 1
H18 0.309 0.215 0.176 1
H19 0.610 0.079 0.734 1
O21 0.400 0.354 0.711 1
H20 0.402 0.074 0.284 1
I3 0.007 0.622 0.622 1
H21 0.059 0.375 0.894 1
H22 0.809 0.785 0.324 1
O22 0.134 0.782 0.643 1
O23 0.366 0.782 0.143 1
O24 0.827 0.166 0.047 1
H23 0.046 0.867 0.382 1
H24 0.258 0.809 0.530 1
O25 0.380 0.009 0.334 1
H25 0.661 0.522 0.326 1
H26 0.339 0.478 0.674 1
H27 0.546 0.133 0.118 1
H28 0.954 0.133 0.618 1
O26 0.880 0.874 0.345 1
O27 0.600 0.646 0.289 1
O28 0.171 0.568 0.159 1
O29 0.900 0.646 0.789 1
O30 0.097 0.564 0.434 1
I4 0.993 0.378 0.378 1
O31 0.903 0.436 0.566 1
H29 0.242 0.809 0.030 1
H30 0.161 0.478 0.174 1
H31 0.742 0.191 0.470 1
O32 0.620 0.874 0.845 1
H32 0.110 0.921 0.766 1
```

Values from the calculation:
Its crystal system is monoclinic. As for the total energy: -7.766 eV per atom. As for the space group: P2_1/c (14).

***

Here is a crystal of CuHOs2I relaxed with PBEsol from Alexandria. Energies are from meta-GGA SCAN.

The structure in CIF format:
```
data_CuHOs2I
_space_group_name_H-M_alt 'P 1'
_space_group_IT_number 1
_cell_length_a 3.110
_cell_length_b 4.751
_cell_length_c 4.751
_cell_angle_alpha 90.00
_cell_angle_beta 90.00
_cell_angle_gamma 90.00
loop_
_space_group_symop_operation_xyz
'x,y,z'
loop_
_atom_site_label
_atom_site_fract_x
_atom_site_fract_y
_atom_site_fract_z
_atom_site_occupancy
Cu1 0.000 0.000 0.000 1
Os1 0.000 0.000 0.500 1
H1 0.500 0.000 0.000 1
I1 0.500 0.500 0.500 1
Os2 0.000 0.500 0.000 1
```

Values from the calculation:
Its crystal system is tetragonal. As for the total energy: -38.240 eV per atom. As for the space group: P4/mmm (123).